(1)
VASP calculation (PBE-GGA) on a relaxed Pu crystal.

Cell lengths 4.7461, 8.2624, 3.5018 Å; angles 90.00, 90.00, 90.00 degrees
Fractional positions:
1 Pu 0.0000 0.1392 0.1236
2 Pu 0.0000 0.3608 0.6236
3 Pu 0.0000 0.6392 0.3764
4 Pu 0.0000 0.8608 0.8764
5 Pu 0.5000 0.1392 0.3764
6 Pu 0.5000 0.3608 0.8764
7 Pu 0.5000 0.6392 0.1236
8 Pu 0.5000 0.8608 0.6236

## Properties
Energy relative to the elements = 0.00 eV/atom
Size of the total moment = 0.000 μB per formula unit
Energy relative to the lowest polymorph listed for this composition = 0 meV per atom



(2)
VASP calculation (PBE-GGA) on a relaxed RbTaHg2 crystal.

Cell lengths 4.7112, 4.7112, 6.9475 Å; angles 90.00, 90.00, 120.00 degrees
Fractional positions:
1 Rb 0.0000 0.0000 0.0000
2 Ta 0.3333 0.6667 0.3437
3 Hg 0.3333 0.6667 0.7399
4 Hg 0.6667 0.3333 0.3746

## Properties
Electronic total energy = -2.393 eV per atom
Size of the total moment = 0.023 μB per formula unit



(3)
VASP calculation (PBE-GGA) on a relaxed AgOsW crystal.

Cell lengths 6.0792, 6.0792, 6.0792 Å; angles 90.00, 90.00, 90.00 degrees
Fractional positions:
1 Ag 0.0000 0.0000 0.0000
2 Ag 0.0000 0.5000 0.5000
3 Ag 0.5000 0.0000 0.5000
4 Ag 0.5000 0.5000 0.0000
5 Os 0.2500 0.2500 0.2500
6 Os 0.2500 0.7500 0.7500
7 Os 0.7500 0.2500 0.7500
8 Os 0.7500 0.7500 0.2500
9 W 0.0000 0.0000 0.5000
10 W 0.0000 0.5000 0.0000
11 W 0.5000 0.0000 0.0000
12 W 0.5000 0.5000 0.5000

## Properties
Energy relative to the elements = 0.97 eV/atom
Size of the total moment = 0.003 μB per formula unit
Energy relative to the lowest polymorph listed for this composition = 0 meV per atom



(4)
VASP calculation (PBE-GGA) on a relaxed ZrSnNO crystal.

Cell lengths 6.4227, 9.7788, 5.7454 Å; angles 90.00, 90.00, 90.00 degrees
Fractional positions:
1 Zr 0.0900 0.0878 0.0000
2 Zr 0.4100 0.0878 0.5000
3 Zr 0.5900 0.9122 0.0000
4 Zr 0.9100 0.9122 0.5000
5 Sn 0.1104 0.4850 0.0528
6 Sn 0.3896 0.4850 0.5528
7 Sn 0.6104 0.5150 0.0528
8 Sn 0.8896 0.5150 0.5528
9 N 0.1343 0.0345 0.6559
10 N 0.3657 0.0345 0.1559
11 N 0.6343 0.9655 0.6559
12 N 0.8657 0.9655 0.1559
13 O 0.0467 0.2842 0.0605
14 O 0.4533 0.2842 0.5605
15 O 0.5467 0.7158 0.0605
16 O 0.9533 0.7158 0.5605

## Properties
Size of the total moment = 0.000 μB per formula unit
Energy relative to the lowest polymorph listed for this composition = 0 meV per atom